(1)
# SmNi2SnSb

A relaxed SmNi2SnSb crystal (PBE-GGA, the Open Quantum Materials Database).

* total magnetic moment: 0.00 μB/f.u.
* distance to the lowest polymorph of the same formula: 0 meV per atom
* V: 194.9 Å³/cell

a b c (Å): 4.362 4.362 10.246
angles (deg): 90.00 90.00 90.00
Positions (direct):
Ni 0.000 0.000 0.000
Ni 0.500 0.500 0.000
Ni 0.000 0.500 0.369
Ni 0.500 0.000 0.631
Sb 0.000 0.500 0.129
Sb 0.500 0.000 0.871
Sm 0.500 0.000 0.239
Sm 0.000 0.500 0.761
Sn 0.000 0.000 0.500
Sn 0.500 0.500 0.500

***

(2)
# Y2Tm5Ni2Te2

A relaxed Y2Tm5Ni2Te2 crystal (PBE-GGA, the Open Quantum Materials Database).

* total magnetic moment: 0.00 μB/f.u.
* distance to the lowest polymorph of the same formula: 0 meV per atom
* V: 283.5 Å³/cell

a b c (Å): 9.302 9.302 9.302
angles (deg): 156.18 66.99 118.43
Positions (direct):
Ni 0.667 0.407 0.261
Ni 0.146 0.407 0.739
Te 0.242 0.242 0.000
Te 0.640 0.140 0.500
Tm 0.282 0.097 0.185
Tm 0.262 0.894 0.367
Tm 0.977 0.477 0.500
Tm 0.527 0.894 0.633
Tm 0.912 0.097 0.815
Y 0.892 0.746 0.147
Y 0.599 0.746 0.853